(1)
An optimized crystal structure of PbCl. Source: the Alexandria database, functional GGA-PBE.

Output
Space group = No. 217
Raw total energy = -3.00 eV/atom

a b c (Å): 8.0753 8.0753 8.0753
angles (deg): 109.47 109.47 109.47
Fractional coordinates of all 8 atoms:
Pb: 0.0000 0.0000 0.3468
Pb: 0.0000 0.3468 0.0000
Pb: 0.3468 0.0000 0.0000
Pb: 0.6532 0.6532 0.6532
Cl: 0.0000 0.0000 0.7240
Cl: 0.0000 0.7240 0.0000
Cl: 0.2760 0.2760 0.2760
Cl: 0.7240 0.0000 0.0000

(2)
An optimized crystal structure of LiCaInPb3. Source: the Alexandria database, functional GGA-PBE.

Output
Space group = No. 11
Raw total energy = -3.22 eV/atom
Formation energy from the elements = -1.52 eV per formula unit

a b c (Å): 7.2340 4.8948 9.9523
angles (deg): 90.00 110.08 90.00
Fractional coordinates of all 12 atoms:
Li: 0.0344 0.2500 0.1426
Li: 0.9656 0.7500 0.8574
Ca: 0.3533 0.7500 0.7204
Ca: 0.6467 0.2500 0.2796
In: 0.0158 0.7500 0.3828
In: 0.9842 0.2500 0.6172
Pb: 0.2776 0.2500 0.9343
Pb: 0.2965 0.7500 0.1598
Pb: 0.3141 0.2500 0.4608
Pb: 0.6859 0.7500 0.5392
Pb: 0.7035 0.2500 0.8402
Pb: 0.7224 0.7500 0.0657

(3)
An optimized crystal structure of NdSi12Pt4. Source: the Alexandria database, functional GGA-PBE.

Output
Space group = No. 204
Raw total energy = -5.98 eV/atom

a b c (Å): 7.2682 7.2682 7.2682
angles (deg): 109.47 109.47 109.47
Fractional coordinates of all 17 atoms:
Nd: 0.0000 0.0000 0.0000
Si: 0.1484 0.5072 0.3587
Si: 0.1484 0.7897 0.6413
Si: 0.2103 0.3587 0.8516
Si: 0.3587 0.1484 0.5072
Si: 0.3587 0.8516 0.2103
Si: 0.4928 0.6413 0.8516
Si: 0.5072 0.3587 0.1484
Si: 0.6413 0.1484 0.7897
Si: 0.6413 0.8516 0.4928
Si: 0.7897 0.6413 0.1484
Si: 0.8516 0.2103 0.3587
Si: 0.8516 0.4928 0.6413
Pt: 0.0000 0.0000 0.5000
Pt: 0.0000 0.5000 0.0000
Pt: 0.5000 0.0000 0.0000
Pt: 0.5000 0.5000 0.5000

Q: Which value of raw total energy does entry 3 give?
A: -5.98 eV/atom

Q: raw total energy of number 3 (NdSi12Pt4)?
A: -5.98 eV/atom